This record from the Alexandria database describes a relaxed Si4Mo2P4O23 crystal. The functional is PBE with a Hubbard U.

Results
calculated total energy = -7.489 eV/atom
ρ = 2.73 Mg/m³

CIF file:
```
data_Si4Mo2P4O23
_space_group_name_H-M_alt 'P -1'
_space_group_IT_number 2
_space_group_name_Hall '-P 1'
_cell_length_a 5.287
_cell_length_b 8.666
_cell_length_c 11.459
_cell_angle_alpha 78.16
_cell_angle_beta 77.74
_cell_angle_gamma 72.99
loop_
_atom_site_label
_atom_site_fract_x
_atom_site_fract_y
_atom_site_fract_z
Si1 0.064 0.189 0.207
Si2 0.436 0.687 0.935
Mo1 0.296 0.254 0.640
P1 0.157 0.680 0.559
P2 0.246 0.813 0.175
O1 0.006 0.247 0.796
O2 0.007 0.265 0.544
O3 0.030 0.812 0.649
O4 0.144 0.513 0.632
O5 0.175 0.999 0.184
O6 0.185 0.723 0.865
O7 0.302 0.278 0.156
O8 0.359 0.811 0.036
O9 0.423 0.047 0.657
O10 0.448 0.691 0.514
O11 0.463 0.716 0.248
O12 0.500 0.500 0.000
```